No. 1
## LuTiAg (GGA-PBE)

Data for a relaxed structure of LuTiAg.

The structure belongs to space group I4mm (No. 107); the cell edges are 3.245, 3.245 and 11.899 Å and the angles 90.00°, 90.00° and 90.00°. The distinct sites, in fractional coordinates, are Lu at (0.000, 0.000, 0.000), Ti at (0.000, 0.000, 0.674) and Ag at (0.000, 0.000, 0.316).

The value obtained for the theoretical density is 8.77 Mg/m³. Its energy of formation from the pure elements is 2 kJ/mol of formula units. For the volume, the calculation gives 125.3 Å³/cell.

***

No. 2
## Y2MnGa12 (GGA-PBE)

Data for a relaxed structure of Y2MnGa12.

The structure belongs to space group P4/nbm (No. 125, origin choice 2); the cell edges are 5.961, 5.961 and 15.897 Å and the angles 90.00°, 90.00° and 90.00°. The distinct sites, in fractional coordinates, are Y at (0.250, 0.750, 0.247), Mn at (0.250, 0.750, 0.000), Ga at (0.000, 0.000, 0.090), Ga at (0.083, 0.583, 0.432), Ga at (0.250, 0.250, 0.194) and Ga at (0.250, 0.250, 0.347).

The value obtained for the theoretical density is 6.29 Mg/m³. Its energy of formation from the pure elements is -420 kJ/mol of formula units. For the volume, the calculation gives 564.8 Å³/cell.

***

No. 3
## Rb2TbNdSe4 (GGA-PBE)

Data for a relaxed structure of Rb2TbNdSe4.

The structure belongs to space group P2/m (No. 10); the cell edges are 7.483, 4.320 and 8.392 Å and the angles 90.00°, 107.27° and 90.00°. The distinct sites, in fractional coordinates, are Rb at (0.000, 0.000, 0.000), Rb at (0.500, 0.500, 0.000), Tb at (0.000, 0.500, 0.500), Nd at (0.500, 0.000, 0.500), Se at (0.226, 0.000, 0.697) and Se at (0.261, 0.500, 0.300).

The value obtained for the theoretical density is 5.06 Mg/m³. The value obtained for the formation energy from raw total energies is -167 kJ per mole of atoms. For the volume, the calculation gives 259.1 Å³/cell.

***

No. 4
## NaPmI3 (GGA-PBE)

Data for a relaxed structure of NaPmI3.

The structure belongs to space group P-6c2 (No. 188); the cell edges are 8.0274, 8.0274 and 7.2502 Å and the angles 90.00°, 90.00° and 120.00°. The distinct sites, in fractional coordinates, are Na at (0.0000, 0.0000, 0.0000), Pm at (0.6667, 0.3333, 0.0000) and I at (0.3382, 0.0055, 0.2500).

The value obtained for the theoretical density is 4.50 Mg/m³. The calculation puts the energy above the most stable polymorph in this dataset at 0.000 eV per atom. The value obtained for the formation energy from raw total energies is -118 kJ per mole of atoms. For the volume, the calculation gives 404.6 Å³/cell.

***

No. 5
## Mg2BeB (GGA-PBE)

Data for a relaxed structure of Mg2BeB.

The structure belongs to space group Cm (No. 8); the cell edges are 5.878, 3.411 and 6.223 Å and the angles 90.00°, 109.04° and 90.00°. The distinct sites, in fractional coordinates, are Mg at (0.000, 0.000, 0.000), Mg at (0.186, 0.000, 0.542), Be at (0.260, 0.500, 0.272) and B at (0.425, 0.000, 0.268).

The value obtained for the theoretical density is 1.93 Mg/m³. The calculation puts the energy above the most stable polymorph in this dataset at 0.069 eV per atom. Its energy of formation from the pure elements is 65 kJ/mol of formula units. For the volume, the calculation gives 118.0 Å³/cell.

***

No. 6
## Ge2Au2I (GGA-PBE)

Data for a relaxed structure of Ge2Au2I.

The structure belongs to space group I4/mmm (No. 139); the cell edges are 4.445, 4.445 and 12.287 Å and the angles 90.00°, 90.00° and 90.00°. The distinct sites, in fractional coordinates, are Ge at (0.000, 0.000, 0.128), Au at (0.000, 0.500, 0.250) and I at (0.000, 0.000, 0.500).

The value obtained for the theoretical density is 9.11 Mg/m³. The calculation puts the energy above the most stable polymorph in this dataset at 0.000 eV per atom. The value obtained for the formation energy from raw total energies is 12 kJ per mole of atoms. For the volume, the calculation gives 242.7 Å³/cell.

***

No. 7
## Cu2SiTc (GGA-PBE)

Data for a relaxed structure of Cu2SiTc.

The structure belongs to space group Pmmm (No. 47); the cell edges are 3.167, 3.863 and 4.153 Å and the angles 90.00°, 90.00° and 90.00°. The distinct sites, in fractional coordinates, are Cu at (0.000, 0.000, 0.000), Cu at (0.500, 0.500, 0.000), Si at (0.000, 0.500, 0.500) and Tc at (0.500, 0.000, 0.500).

The value obtained for the theoretical density is 8.27 Mg/m³. The value obtained for the formation energy from raw total energies is -8 kJ per mole of atoms. For the volume, the calculation gives 50.8 Å³/cell.

***

No. 8
## Dy2Zn2SnRh5 (GGA-PBE)

Data for a relaxed structure of Dy2Zn2SnRh5.

The structure belongs to space group P4/mbm (No. 127); the cell edges are 9.695, 9.695 and 3.661 Å and the angles 90.00°, 90.00° and 90.00°. The distinct sites, in fractional coordinates, are Dy at (0.174, 0.326, 0.000), Zn at (0.124, 0.624, 0.000), Sn at (0.000, 0.000, 0.000), Rh at (0.000, 0.500, 0.500) and Rh at (0.069, 0.795, 0.500).

The value obtained for the theoretical density is 10.51 Mg/m³. Its energy of formation from the pure elements is -643 kJ/mol of formula units. For the volume, the calculation gives 344.1 Å³/cell.

***

No. 9
## Li2AsF6 (GGA-PBE)

Data for a relaxed structure of Li2AsF6.

The structure belongs to space group P4_2/mnm (No. 136); the cell edges are 4.734, 4.734 and 9.164 Å and the angles 90.00°, 90.00° and 90.00°. The distinct sites, in fractional coordinates, are Li at (0.000, 0.000, 0.163), As at (0.000, 0.000, 0.500), F at (0.192, 0.192, 0.344) and F at (0.212, 0.212, 0.000).

The value obtained for the theoretical density is 3.28 Mg/m³. The value obtained for the formation energy from raw total energies is -233 kJ per mole of atoms. For the volume, the calculation gives 205.4 Å³/cell.